# Pr2UPaP4 (PBE, optimized geometry)
# - Size of the total moment: 2.4 μB per cell
# - Density of states at the Fermi level: 11.0 states/eV/cell
# - E: -7.8192 eV per atom
data_Pr2UPaP4
_chemical_formula_sum 'Pr2 U1 Pa1 P4'
_space_group_name_H-M_alt 'P 1 2/m 1'
_space_group_IT_number 10
_space_group_name_Hall '-P 2y'
_cell_length_a 7.021
_cell_length_b 4.051
_cell_length_c 7.111
_cell_angle_alpha 90.00
_cell_angle_beta 109.20
_cell_angle_gamma 90.00
loop_
_atom_site_label
_atom_site_type_symbol
_atom_site_fract_x
_atom_site_fract_y
_atom_site_fract_z
Pr1 Pr 0.000 0.000 0.000
Pr2 Pr 0.500 0.500 0.000
U1 U 0.000 0.500 0.500
Pa1 Pa 0.500 0.000 0.500
P1 P 0.243 0.000 0.730
P2 P 0.256 0.500 0.270

***

# PrUPa2P4 (PBE, optimized geometry)
# - Size of the total moment: 2.6 μB per cell
# - Density of states at the Fermi level: 11.9 states/eV/cell
# - E: -8.3457 eV per atom
data_PrUPa2P4
_chemical_formula_sum 'Pr1 U1 Pa2 P4'
_space_group_name_H-M_alt 'P 1 2/m 1'
_space_group_IT_number 10
_space_group_name_Hall '-P 2y'
_cell_length_a 6.952
_cell_length_b 4.004
_cell_length_c 6.976
_cell_angle_alpha 90.00
_cell_angle_beta 109.32
_cell_angle_gamma 90.00
loop_
_atom_site_label
_atom_site_type_symbol
_atom_site_fract_x
_atom_site_fract_y
_atom_site_fract_z
Pr1 Pr 0.000 0.000 0.000
U1 U 0.000 0.500 0.500
Pa1 Pa 0.500 0.000 0.500
Pa2 Pa 0.500 0.500 0.000
P1 P 0.254 0.000 0.745
P2 P 0.261 0.500 0.261

***

# PrYPa2P4 (PBE, optimized geometry)
# - Size of the total moment: 0.0 μB per cell
# - Density of states at the Fermi level: 6.6 states/eV/cell
# - E: -7.9164 eV per atom
data_PrYPa2P4
_chemical_formula_sum 'Pr1 Y1 Pa2 P4'
_space_group_name_H-M_alt 'P 1 2/m 1'
_space_group_IT_number 10
_space_group_name_Hall '-P 2y'
_cell_length_a 6.982
_cell_length_b 4.030
_cell_length_c 6.989
_cell_angle_alpha 90.00
_cell_angle_beta 109.43
_cell_angle_gamma 90.00
loop_
_atom_site_label
_atom_site_type_symbol
_atom_site_fract_x
_atom_site_fract_y
_atom_site_fract_z
Pr1 Pr 0.000 0.000 0.000
Y1 Y 0.500 0.500 0.000
Pa1 Pa 0.000 0.500 0.500
Pa2 Pa 0.500 0.000 0.500
P1 P 0.251 0.000 0.740
P2 P 0.260 0.500 0.264

***

# PrY2PaP4 (PBE, optimized geometry)
# - Size of the total moment: 0.0 μB per cell
# - Density of states at the Fermi level: 5.0 states/eV/cell
# - E: -7.6216 eV per atom
data_PrY2PaP4
_chemical_formula_sum 'Pr1 Y2 Pa1 P4'
_space_group_name_H-M_alt 'P 1 2/m 1'
_space_group_IT_number 10
_space_group_name_Hall '-P 2y'
_cell_length_a 6.967
_cell_length_b 4.049
_cell_length_c 7.023
_cell_angle_alpha 90.00
_cell_angle_beta 109.47
_cell_angle_gamma 90.00
loop_
_atom_site_label
_atom_site_type_symbol
_atom_site_fract_x
_atom_site_fract_y
_atom_site_fract_z
Pr1 Pr 0.000 0.000 0.000
Y1 Y 0.500 0.000 0.500
Y2 Y 0.500 0.500 0.000
Pa1 Pa 0.000 0.500 0.500
P1 P 0.249 0.000 0.741
P2 P 0.253 0.500 0.262

***

# Pr2YPaP4 (PBE, optimized geometry)
# - Size of the total moment: 0.0 μB per cell
# - Density of states at the Fermi level: 4.6 states/eV/cell
# - E: -7.4004 eV per atom
data_Pr2YPaP4
_chemical_formula_sum 'Pr2 Y1 Pa1 P4'
_space_group_name_H-M_alt 'P 1 2/m 1'
_space_group_IT_number 10
_space_group_name_Hall '-P 2y'
_cell_length_a 7.048
_cell_length_b 4.090
_cell_length_c 7.113
_cell_angle_alpha 90.00
_cell_angle_beta 109.38
_cell_angle_gamma 90.00
loop_
_atom_site_label
_atom_site_type_symbol
_atom_site_fract_x
_atom_site_fract_y
_atom_site_fract_z
Pr1 Pr 0.000 0.000 0.000
Pr2 Pr 0.500 0.500 0.000
Y1 Y 0.000 0.500 0.500
Pa1 Pa 0.500 0.000 0.500
P1 P 0.251 0.000 0.734
P2 P 0.260 0.500 0.268

***

# Pr2ZrPaP4 (PBE, optimized geometry)
# - Size of the total moment: 0.0 μB per cell
# - Density of states at the Fermi level: 4.9 states/eV/cell
# - E: -7.5750 eV per atom
data_Pr2ZrPaP4
_chemical_formula_sum 'Pr2 Zr1 Pa1 P4'
_space_group_name_H-M_alt 'P 1 2/m 1'
_space_group_IT_number 10
_space_group_name_Hall '-P 2y'
_cell_length_a 6.906
_cell_length_b 4.012
_cell_length_c 7.021
_cell_angle_alpha 90.00
_cell_angle_beta 109.14
_cell_angle_gamma 90.00
loop_
_atom_site_label
_atom_site_type_symbol
_atom_site_fract_x
_atom_site_fract_y
_atom_site_fract_z
Pr1 Pr 0.000 0.000 0.000
Pr2 Pr 0.500 0.500 0.000
Zr1 Zr 0.000 0.500 0.500
Pa1 Pa 0.500 0.000 0.500
P1 P 0.237 0.000 0.724
P2 P 0.252 0.500 0.272

***

# PaPPt (PBE, optimized geometry)
# - Size of the total moment: 0.0 μB per cell
# - Density of states at the Fermi level: 3.8 states/eV/cell
# - E: -8.0005 eV per atom
data_PaPPt
_chemical_formula_sum 'Pa2 P2 Pt2'
_space_group_name_H-M_alt 'P 1 21/m 1'
_space_group_IT_number 11
_space_group_name_Hall '-P 2yb'
_cell_length_a 3.928
_cell_length_b 3.933
_cell_length_c 7.861
_cell_angle_alpha 90.00
_cell_angle_beta 94.35
_cell_angle_gamma 90.00
loop_
_atom_site_label
_atom_site_type_symbol
_atom_site_fract_x
_atom_site_fract_y
_atom_site_fract_z
Pa1 Pa 0.218 0.250 0.285
P1 P 0.273 0.250 0.643
Pt1 Pt 0.261 0.750 0.004

***

# PaP2Pt4 (PBE, optimized geometry)
# - Size of the total moment: 0.0 μB per cell
# - Density of states at the Fermi level: 7.8 states/eV/cell
# - E: -7.0488 eV per atom
data_PaP2Pt4
_chemical_formula_sum 'Pa2 P4 Pt8'
_space_group_name_H-M_alt 'P 42/m n m'
_space_group_IT_number 136
_space_group_name_Hall '-P 4n 2n'
_cell_length_a 7.604
_cell_length_b 7.604
_cell_length_c 4.082
_cell_angle_alpha 90.00
_cell_angle_beta 90.00
_cell_angle_gamma 90.00
loop_
_atom_site_label
_atom_site_type_symbol
_atom_site_fract_x
_atom_site_fract_y
_atom_site_fract_z
Pa1 Pa 0.000 0.000 0.000
P1 P 0.241 0.241 0.500
Pt1 Pt 0.058 0.689 0.500

***

Question: Number 1 is which compound?
Answer: Pr2UPaP4